(1)
A relaxed structure of Cs6KI8. Source: Alexandria, functional PBE-GGA.

Calculated values
Raw total energy, eV per atom: -2.592
Magnetization, μB per atom: 0.063

Cell lengths 11.437, 11.437, 7.580 Å; angles 90.00, 90.00, 120.00 degrees
Atoms (fractional coordinates):
Cs  0.000  0.376  0.260
Cs  0.000  0.624  0.740
Cs  0.376  0.000  0.260
Cs  0.376  0.376  0.740
Cs  0.624  0.000  0.740
Cs  0.624  0.624  0.260
K  0.000  0.000  0.500
I  0.000  0.276  0.755
I  0.000  0.724  0.245
I  0.276  0.000  0.755
I  0.276  0.276  0.245
I  0.333  0.667  0.501
I  0.667  0.333  0.499
I  0.724  0.000  0.245
I  0.724  0.724  0.755

(2)
A relaxed structure of SrTc3As. Source: Alexandria, functional PBE-GGA.

Calculated values
E above lowest polymorph, meV/atom: 2170.3
Formation energy from the elements, eV/atom: 2.946
Raw total energy, eV per atom: -4.539
Magnetization, μB per atom: 0.663

Cell lengths 4.828, 4.828, 4.828 Å; angles 90.00, 90.00, 90.00 degrees
Atoms (fractional coordinates):
Sr  0.000  0.000  0.000
Tc  0.000  0.000  0.500
Tc  0.000  0.500  0.000
Tc  0.500  0.000  0.000
As  0.500  0.500  0.500

(3)
A relaxed structure of Pm3SnAs2Pt9. Source: Alexandria, functional PBE-GGA.

Calculated values
Formation energy from the elements, eV/atom: -0.567
Raw total energy, eV per atom: -6.028
Magnetization, μB per atom: 0.000

Cell lengths 6.564, 6.564, 9.318 Å; angles 90.00, 90.00, 120.00 degrees
Atoms (fractional coordinates):
Pm  0.000  0.000  0.000
Pm  0.333  0.667  0.743
Pm  0.667  0.333  0.257
Sn  0.000  0.000  0.500
As  0.333  0.667  0.182
As  0.667  0.333  0.818
Pt  0.000  0.500  0.000
Pt  0.140  0.279  0.270
Pt  0.140  0.860  0.270
Pt  0.279  0.140  0.730
Pt  0.500  0.000  0.000
Pt  0.500  0.500  0.000
Pt  0.721  0.860  0.270
Pt  0.860  0.140  0.730
Pt  0.860  0.721  0.730

The lowest magnetization belongs to which entry? Pm3SnAs2Pt9